The following is a SCAN calculation of a PBEsol-optimized structure of ScSbIO2, from the Alexandria database.

Geometry as POSCAR:
```
ScSbIO2
1.0
-1.6397 -3.2937 2.0169
-1.6088 -1.4095 -3.6097
4.6618 -2.8997 -0.9454
I Sb Sc O
1 1 1 2
direct
0.0000 0.0000 0.5000
0.5000 0.5000 0.5000
0.0000 0.0000 0.0000
0.0000 0.5000 0.0000
0.5000 0.0000 0.0000
```

Summary:
raw total energy = -105.97 eV for the cell shown
crystal system = tetragonal
ρ = 5.5 g/cm3
raw formation energy = -1.054 eV per atom
DOS at the Fermi energy = 2.46 states/eV/cell
space-group type = P4/mmm